This record from the Alexandria database describes a relaxed structure of KMnSb2. The functional is GGA-PBE.

The polymorph energy (0 for the lowest one) is 0.00 eV per formula unit. Its raw formation energy is -154 meV per atom. The value obtained for the total energy is -19.13 eV per cell. As for the density of states at the Fermi level: 1.4 states/eV/f.u.

abc: 7.9828 7.9828 7.9828
angles: 30.69 30.69 30.69
Fractional coordinates of all 4 atoms:
1 K 0.0000 0.0000 0.0000
2 Mn 0.5000 0.5000 0.5000
3 Sb 0.2192 0.2192 0.2192
4 Sb 0.7808 0.7808 0.7808